Ge3HO | GGA-PBE | relaxed

Results
energy above the most stable polymorph in this dataset = 0.000 eV/atom
total energy = -0.28634 Ry per atom
total magnetization = 0.0 Bohr magnetons per cell

Cell: 4.448 4.448 4.448 Å, 90.00 90.00 90.00°
Fractional coordinates of all 5 atoms:
H (0.500, 0.500, 0.500)
Ge (0.000, 0.500, 0.000)
Ge (0.000, 0.000, 0.500)
Ge (0.500, 0.000, 0.000)
O (0.000, 0.000, 0.000)